Entry 1:
# Pr2SmYTe6

A relaxed Pr2SmYTe6 crystal (GGA-PBE, Alexandria via LeMat-Bulk).

Results
Final energy: -5.341 eV per atom
M_tot: 0.00 μB/f.u.
ρ: 5.52 g/cm³
E_form (uncorrected): -1.382 eV/atom

Structure (extended XYZ):
```
10
Lattice="-5.531 -2.742 4.955 -6.158 -4.099 -2.818 -0.210 -8.341 1.473" Properties=species:S:1:pos:R:3 pbc="T T T"
Pr -6.109 -7.329 1.772
Pr -0.360 -8.095 1.442
Te -8.882 -7.122 3.320
Te -4.683 -4.644 2.714
Te -6.998 -6.541 -1.181
Te -3.354 -8.347 0.414
Te -4.732 -8.690 4.365
Te -6.917 -10.413 1.222
Y -3.784 -2.464 0.735
Sm -9.722 -10.073 2.542
```

***

Entry 2:
# Pr4Sm3YTe8

A relaxed Pr4Sm3YTe8 crystal (GGA-PBE, Alexandria via LeMat-Bulk).

Results
Final energy: -5.454 eV per atom
M_tot: 0.00 μB/f.u.
ρ: 6.93 g/cm³
E_form (uncorrected): -1.399 eV/atom

Structure (extended XYZ):
```
16
Lattice="-2.025 6.590 -5.670 0.823 -5.695 -6.912 -5.537 -1.966 6.718" Properties=species:S:1:pos:R:3 pbc="T T T"
Pr 0.000 0.000 0.000
Pr -2.768 -0.983 3.359
Pr -1.012 3.295 -2.835
Pr -3.781 2.312 0.524
Te -4.137 2.494 -2.651
Te -5.397 -4.558 0.178
Te -1.341 3.486 -6.043
Te -6.419 -1.230 -2.685
Te -3.644 -0.278 -6.047
Te -2.601 -3.565 -3.214
Te -3.094 -0.794 0.182
Te -0.318 0.159 -3.180
Sm -2.357 -3.831 -0.097
Sm -3.369 -0.536 -2.932
Sm -0.601 0.447 -6.291
Y 0.412 -2.848 -3.456
```

***

Entry 3:
# Pr3Sm3YTe8

A relaxed Pr3Sm3YTe8 crystal (GGA-PBE, Alexandria via LeMat-Bulk).

Results
Final energy: -5.453 eV per atom
M_tot: 0.00 μB/f.u.
ρ: 6.53 g/cm³
E_form (uncorrected): -1.446 eV/atom

Structure (extended XYZ):
```
15
Lattice="8.920 0.000 0.000 -4.460 7.725 -0.027 0.000 -5.125 7.341" Properties=species:S:1:pos:R:3 pbc="T T T"
Te 2.209 3.869 5.447
Te 4.460 0.018 5.444
Te 0.000 2.581 1.870
Te 4.460 2.557 1.853
Te 2.251 -1.269 1.866
Te 6.670 -1.269 1.866
Te -2.209 3.869 5.447
Te 0.000 0.043 5.461
Pr -2.230 3.862 -0.014
Pr 2.230 3.862 -0.014
Pr 0.000 0.000 0.000
Sm -2.230 1.300 3.657
Sm 2.230 1.300 3.657
Sm 4.460 -2.563 3.670
Y 0.000 -2.562 3.670
```

***

Entry 4:
# PrSm4Y3Te8

A relaxed PrSm4Y3Te8 crystal (GGA-PBE, Alexandria via LeMat-Bulk).

Results
Final energy: -5.618 eV per atom
M_tot: 0.00 μB/f.u.
ρ: 6.86 g/cm³
E_form (uncorrected): -1.357 eV/atom

Structure (extended XYZ):
```
16
Lattice="8.853 0.000 0.000 0.000 8.860 -0.002 -4.427 -4.423 6.263" Properties=species:S:1:pos:R:3 pbc="T T T"
Sm 0.000 0.000 0.000
Sm -2.213 -2.211 3.131
Sm 4.427 0.000 0.000
Sm 2.213 -2.211 3.131
Y 2.213 2.219 3.130
Y -2.213 2.219 3.130
Y 4.427 4.430 -0.001
Te 2.172 2.222 6.231
Te 4.427 0.046 3.102
Te 2.255 2.216 0.030
Te -2.172 2.222 6.231
Te 0.000 4.391 3.159
Te 6.598 2.216 0.030
Te 4.427 4.392 3.100
Te 0.000 0.045 3.160
Pr 0.000 4.430 -0.001
```

***

Entry 5:
# PrSm3Y2Te6

A relaxed PrSm3Y2Te6 crystal (GGA-PBE, Alexandria via LeMat-Bulk).

Results
Final energy: -5.595 eV per atom
M_tot: 0.00 μB/f.u.
ρ: 6.89 g/cm³
E_form (uncorrected): -1.369 eV/atom

Structure (extended XYZ):
```
12
Lattice="-3.126 -2.804 -1.342 4.609 -6.800 3.473 -4.062 4.161 8.010" Properties=species:S:1:pos:R:3 pbc="T T T"
Y -2.251 -4.103 6.576
Y -0.329 -1.340 3.565
Te -1.788 -1.027 6.312
Te -3.725 -3.717 9.202
Te -0.791 -4.416 3.829
Te 1.145 -1.726 0.939
Te -3.068 -1.075 2.151
Te 0.489 -4.368 7.990
Sm -4.607 -0.664 4.877
Sm 0.741 -4.802 1.065
Sm 2.027 -4.779 5.263
Pr -1.563 -1.402 -0.671
```

***

Entry 6:
# Pr3SmY2Te6

A relaxed Pr3SmY2Te6 crystal (GGA-PBE, Alexandria via LeMat-Bulk).

Results
Final energy: -5.627 eV per atom
M_tot: 0.00 μB/f.u.
ρ: 6.68 g/cm³
E_form (uncorrected): -1.391 eV/atom

Structure (extended XYZ):
```
12
Lattice="4.421 0.000 0.000 0.000 9.010 0.265 -2.210 -2.654 9.388" Properties=species:S:1:pos:R:3 pbc="T T T"
Y 0.000 2.101 3.196
Y 2.210 4.255 6.457
Pr 2.210 -0.272 6.354
Pr 0.000 6.627 3.300
Pr 2.210 4.505 0.133
Te 2.210 4.148 9.513
Te 2.210 4.277 3.351
Te 0.000 2.079 6.303
Te 0.000 2.208 0.140
Te 0.000 6.412 6.503
Te 2.210 -0.057 3.150
Sm 2.210 0.000 0.000
```

***

Entry 7:
# Pr2SmZnTe5

A relaxed Pr2SmZnTe5 crystal (GGA-PBE, Alexandria via LeMat-Bulk).

Results
Final energy: -4.675 eV per atom
M_tot: 0.00 μB/f.u.
ρ: 6.72 g/cm³
E_form (uncorrected): -1.201 eV/atom

Structure (extended XYZ):
```
18
Lattice="-0.369 3.175 -2.936 -8.770 0.369 4.708 5.053 8.664 8.734" Properties=species:S:1:pos:R:3 pbc="T T T"
Te -0.446 0.764 0.882
Te 1.225 4.043 1.011
Te -5.477 8.294 6.449
Te -1.704 6.981 7.763
Te -1.392 10.060 11.054
Te -3.912 4.199 5.032
Te -4.978 8.735 10.072
Te -3.124 3.954 1.461
Te -0.179 6.458 3.799
Te 0.760 9.610 7.089
Zn -5.522 5.660 6.815
Zn 3.518 10.116 7.291
Pr -0.755 3.161 3.513
Pr -2.758 10.029 7.985
Pr -6.184 4.676 2.627
Pr 1.412 6.354 6.694
Sm -2.994 7.185 4.938
Sm -3.515 0.868 1.380
```

***

Entry 8:
# Pr4Sm7Th

A relaxed Pr4Sm7Th crystal (GGA-PBE, Alexandria via LeMat-Bulk).

Results
Final energy: -4.700 eV per atom
M_tot: 0.00 μB/f.u.
ρ: 7.14 g/cm³
Polymorph energy (0 for the lowest one): 2.88 eV per formula unit

Structure (extended XYZ):
```
12
Lattice="-0.134 -4.906 3.634 11.358 -3.335 1.046 0.482 1.169 6.727" Properties=species:S:1:pos:R:3 pbc="T T T"
Pr 7.919 -5.076 8.830
Pr 2.681 -3.296 5.910
Pr 9.025 -3.775 5.496
Pr 3.787 -1.995 2.576
Sm 10.623 -6.353 7.205
Sm -0.067 -2.453 1.817
Sm 5.738 -4.492 4.408
Sm 7.840 -2.382 2.203
Sm 1.083 -0.718 4.201
Sm 5.968 -2.579 6.999
Sm 3.866 -4.689 9.204
Th 0.000 0.000 0.000
```

***

Entry 9:
# Pr4Sm5Th

A relaxed Pr4Sm5Th crystal (GGA-PBE, Alexandria via LeMat-Bulk).

Results
Final energy: -4.992 eV per atom
M_tot: 0.00 μB/f.u.
ρ: 7.39 g/cm³
Polymorph energy (0 for the lowest one): 0.00 eV per formula unit

Structure (extended XYZ):
```
10
Lattice="3.662 0.000 0.000 0.000 3.662 0.000 0.000 0.000 25.927" Properties=species:S:1:pos:R:3 pbc="T T T"
Sm 1.831 1.831 2.424
Sm 1.831 1.831 18.196
Sm 1.831 1.831 23.503
Sm 1.831 1.831 12.964
Sm 1.831 1.831 7.731
Th 0.000 0.000 0.000
Pr 0.000 0.000 10.360
Pr 0.000 0.000 5.137
Pr 0.000 0.000 20.790
Pr 0.000 0.000 15.567
```

***

Entry 10:
# PrSmTh14

A relaxed PrSmTh14 crystal (GGA-PBE, Alexandria via LeMat-Bulk).

Results
Final energy: -7.043 eV per atom
M_tot: 0.00 μB/f.u.
ρ: 11.27 g/cm³

Structure (extended XYZ):
```
16
Lattice="7.184 -0.440 0.000 -3.221 6.437 0.000 0.000 0.000 11.639" Properties=species:S:1:pos:R:3 pbc="T T T"
Sm -2.798 6.158 5.819
Th 5.880 0.422 8.744
Th 2.294 0.634 2.882
Th 5.880 0.422 2.895
Th -1.160 2.926 5.819
Th 4.279 3.637 8.757
Th 2.294 0.634 8.757
Th 4.279 3.637 2.882
Th 0.817 5.917 5.819
Th 0.557 1.785 0.000
Th 0.674 3.863 8.754
Th 0.674 3.863 2.885
Th 4.150 1.565 0.000
Th -1.054 5.005 0.000
Th 2.540 4.785 0.000
Pr 2.402 2.721 5.819
```

***

Entry 11:
# Pr2Sm5Th4

A relaxed Pr2Sm5Th4 crystal (GGA-PBE, Alexandria via LeMat-Bulk).

Results
Final energy: -5.584 eV per atom
M_tot: 0.00 μB/f.u.
ρ: 8.77 g/cm³

Structure (extended XYZ):
```
11
Lattice="3.472 0.000 -0.556 -0.548 8.273 -3.421 0.494 -3.190 14.201" Properties=species:S:1:pos:R:3 pbc="T T T"
Pr 2.393 3.813 3.823
Pr 1.025 1.270 6.401
Sm 3.263 1.683 9.253
Sm 2.916 4.368 7.089
Sm 1.736 0.000 -0.278
Sm 0.502 0.715 3.134
Sm 0.155 3.400 0.971
Th 2.041 6.506 1.625
Th -0.186 5.875 -1.158
Th 3.604 -0.793 11.381
Th 1.377 -1.423 8.598
```

***

Entry 12:
# PrSmTh2

A relaxed PrSmTh2 crystal (GGA-PBE, Alexandria via LeMat-Bulk).

Results
Final energy: -5.871 eV per atom
M_tot: 0.00 μB/f.u.
ρ: 9.22 g/cm³
Polymorph energy (0 for the lowest one): 0.73 eV per formula unit

Structure (extended XYZ):
```
4
Lattice="3.537 0.000 0.000 1.769 3.063 0.000 1.769 1.021 12.548" Properties=species:S:1:pos:R:3 pbc="T T T"
Sm 3.537 2.042 6.274
Th 5.306 3.063 3.314
Th 1.769 1.021 9.233
Pr 0.000 0.000 0.000
```